A relaxed Dy2GaGe4Pt3 crystal, computed with GGA-PBE.

Values from the calculation:
E ... -56.65 eV per cell
Size of the total moment ... 0.00 μB/cell

Unit cell a=4.119 b=4.119 c=11.081 alpha=90.00 beta=90.00 gamma=90.00
Atoms (fractional coordinates):
Dy: 0.000 0.500 0.242
Dy: 0.500 0.000 0.758
Ga: 0.500 0.500 0.000
Ge: 0.000 0.000 0.500
Ge: 0.000 0.500 0.857
Ge: 0.500 0.000 0.143
Ge: 0.500 0.500 0.500
Pt: 0.000 0.000 0.000
Pt: 0.000 0.500 0.638
Pt: 0.500 0.000 0.362

A relaxed Dy2GaGe3Pt4 crystal, computed with GGA-PBE.

Values from the calculation:
E ... -59.35 eV per cell
Size of the total moment ... 0.00 μB/cell

Unit cell a=4.278 b=4.278 c=10.241 alpha=90.00 beta=90.00 gamma=90.00
Atoms (fractional coordinates):
Dy: 0.000 0.500 0.248
Dy: 0.500 0.000 0.752
Ga: 0.500 0.500 0.000
Ge: 0.000 0.000 0.000
Ge: 0.000 0.500 0.632
Ge: 0.500 0.000 0.368
Pt: 0.000 0.000 0.500
Pt: 0.000 0.500 0.868
Pt: 0.500 0.000 0.132
Pt: 0.500 0.500 0.500

A relaxed DyPuGaGe crystal, computed with GGA-PBE.

Values from the calculation:
E ... -28.40 eV per cell
Size of the total moment ... 5.58 μB/cell

Unit cell a=5.041 b=5.041 c=5.041 alpha=60.00 beta=60.00 gamma=60.00
Atoms (fractional coordinates):
Dy: 0.000 0.000 0.000
Pu: 0.500 0.500 0.500
Ga: 0.250 0.250 0.250
Ge: 0.750 0.750 0.750